Record 1
This record from Alexandria describes an optimized crystal structure of FeSi2Ru. The functional is PBE.

a = 7.757 Å, b = 7.757 Å, c = 7.757 Å
α = 21.00°, β = 21.00°, γ = 21.00°
Positions (direct):
Fe (0.000, 0.000, 0.000)
Si (0.259, 0.259, 0.259)
Si (0.503, 0.503, 0.503)
Ru (0.758, 0.758, 0.758)

## Properties
- formation energy (no corrections) (meV per atom) = -24
- DOS(E_F) (states/eV per cell) = 2.62
- E (eV for the cell shown) = -28.7
- spin magnetization (Bohr magnetons per cell) = 1.8

=====

Record 2
This record from Alexandria describes an optimized crystal structure of TbErGeRh. The functional is PBE.

a = 4.940 Å, b = 4.940 Å, c = 4.940 Å
α = 60.00°, β = 60.00°, γ = 60.00°
Positions (direct):
Tb (0.000, 0.000, 0.000)
Er (0.500, 0.500, 0.500)
Ge (0.750, 0.750, 0.750)
Rh (0.250, 0.250, 0.250)

## Properties
- relative energy among the computed polymorphs (eV per atom) = 0.1309
- DOS(E_F) (states/eV per cell) = 2.08
- E (eV for the cell shown) = -24.1
- spin magnetization (Bohr magnetons per cell) = 0.0

=====

Record 3
This record from Alexandria describes an optimized crystal structure of Ac2SmGd. The functional is PBE.

a = 6.033 Å, b = 6.033 Å, c = 6.033 Å
α = 60.00°, β = 60.00°, γ = 60.00°
Positions (direct):
Ac (0.250, 0.250, 0.250)
Ac (0.750, 0.750, 0.750)
Sm (0.000, 0.000, 0.000)
Gd (0.500, 0.500, 0.500)

## Properties
- relative energy among the computed polymorphs (eV per atom) = 0.0666
- DOS(E_F) (states/eV per cell) = 8.72
- E (eV for the cell shown) = -26.6
- spin magnetization (Bohr magnetons per cell) = 7.8

=====

Record 4
This record from Alexandria describes an optimized crystal structure of YCu2. The functional is PBE.

a = 6.282 Å, b = 6.282 Å, c = 6.282 Å
α = 145.05°, β = 127.57°, γ = 64.58°
Positions (direct):
Y (0.175, 0.175, 0.000)
Y (0.825, 0.825, 0.000)
Cu (0.268, 0.500, 0.768)
Cu (0.387, 0.887, 0.500)
Cu (0.613, 0.113, 0.500)
Cu (0.732, 0.500, 0.232)

## Properties
- DOS(E_F) (states/eV per cell) = 2.81
- E (eV for the cell shown) = -30.4
- spin magnetization (Bohr magnetons per cell) = 0.0

=====

Record 5
This record from Alexandria describes an optimized crystal structure of CsTl2HgAu2. The functional is PBE.

a = 4.668 Å, b = 10.275 Å, c = 8.070 Å
α = 90.00°, β = 90.00°, γ = 90.00°
Positions (direct):
Cs (0.000, 0.054, 0.000)
Cs (0.000, 0.946, 0.500)
Tl (0.000, 0.357, 0.408)
Tl (0.000, 0.643, 0.908)
Tl (0.500, 0.410, 0.043)
Tl (0.500, 0.590, 0.543)
Hg (0.500, 0.221, 0.674)
Hg (0.500, 0.779, 0.174)
Au (0.000, 0.377, 0.786)
Au (0.000, 0.623, 0.286)
Au (0.500, 0.202, 0.303)
Au (0.500, 0.798, 0.803)

## Properties
- DOS(E_F) (states/eV per cell) = 5.76
- E (eV for the cell shown) = -26.4
- spin magnetization (Bohr magnetons per cell) = 0.0

=====

Record 6
This record from Alexandria describes an optimized crystal structure of PuInH. The functional is PBE.

a = 6.287 Å, b = 6.287 Å, c = 6.287 Å
α = 151.22°, β = 151.22°, γ = 41.15°
Positions (direct):
Pu (0.000, 0.000, 0.000)
In (0.277, 0.277, 0.000)
H (0.543, 0.543, 0.000)

## Properties
- relative energy among the computed polymorphs (eV per atom) = 0.0311
- DOS(E_F) (states/eV per cell) = 5.40
- E (eV for the cell shown) = -20.6
- spin magnetization (Bohr magnetons per cell) = 5.7

=====

Record 7
This record from Alexandria describes an optimized crystal structure of Li5MgRh2. The functional is PBE.

a = 4.484 Å, b = 11.446 Å, c = 4.664 Å
α = 90.00°, β = 90.02°, γ = 90.00°
Positions (direct):
Li (0.249, 0.104, 0.153)
Li (0.249, 0.250, 0.732)
Li (0.249, 0.396, 0.153)
Li (0.250, 0.004, 0.672)
Li (0.250, 0.496, 0.672)
Li (0.750, 0.504, 0.328)
Li (0.750, 0.996, 0.328)
Li (0.751, 0.604, 0.847)
Li (0.751, 0.750, 0.268)
Li (0.751, 0.896, 0.847)
Mg (0.251, 0.750, 0.662)
Mg (0.749, 0.250, 0.338)
Rh (0.251, 0.632, 0.161)
Rh (0.251, 0.868, 0.161)
Rh (0.749, 0.132, 0.839)
Rh (0.749, 0.368, 0.839)

## Properties
- relative energy among the computed polymorphs (eV per atom) = 0.0000
- DOS(E_F) (states/eV per cell) = 5.69
- E (eV for the cell shown) = -54.0
- spin magnetization (Bohr magnetons per cell) = 0.0

=====

Record 8
This record from Alexandria describes an optimized crystal structure of CsBaSbS4. The functional is PBE.

a = 7.446 Å, b = 7.172 Å, c = 9.752 Å
α = 90.00°, β = 106.39°, γ = 90.00°
Positions (direct):
Cs (0.228, 0.250, 0.436)
Cs (0.772, 0.750, 0.564)
Ba (0.263, 0.250, 0.946)
Ba (0.737, 0.750, 0.054)
Sb (0.287, 0.750, 0.183)
Sb (0.713, 0.250, 0.817)
S (0.092, 0.750, 0.336)
S (0.109, 0.750, 0.941)
S (0.492, 0.008, 0.223)
S (0.492, 0.492, 0.223)
S (0.508, 0.508, 0.777)
S (0.508, 0.992, 0.777)
S (0.891, 0.250, 0.059)
S (0.908, 0.250, 0.664)

## Properties
- formation energy (no corrections) (meV per atom) = -1061
- DOS(E_F) (states/eV per cell) = 0.00
- E (eV for the cell shown) = -61.7
- spin magnetization (Bohr magnetons per cell) = 0.0